VASP calculation (PBE) on TiAlPd6 after structural relaxation.

Unit cell a=7.3978 b=5.3839 c=7.2580 alpha=90.00 beta=110.28 gamma=90.00
Last column: nearest neighbours and their distance in Å.
Space group C2/m (No. 12)
Unique sites:
Ti  0.0000  0.0000  0.0000 [2 per cell]  6 Pd 2.49-2.57
Al  0.0000  0.5000  0.5000 [2 per cell]  8 Pd 2.61-2.71
Pd  0.1464  0.5000  0.9355 [4 per cell]  1 Ti 2.49, 3 Pd 2.64-2.76
Pd  0.1954  0.2563  0.3014 [8 per cell]  1 Ti 2.57, 2 Al 2.61-2.71, 6 Pd 2.62-2.87

ΔE_f, eV/atom: -0.36
Polymorph energy (0 for the lowest one), meV/atom: 286


VASP calculation (PBE) on TiAlPd2 after structural relaxation.

Unit cell a=2.9143 b=2.9143 c=7.1116 alpha=90.00 beta=90.00 gamma=90.00
Last column: nearest neighbours and their distance in Å.
Space group P4/mmm (No. 123)
Unique sites:
Ti  0.0000  0.0000  0.0000 [1 per cell]  8 Pd 2.83, 4 Ti 2.91
Al  0.0000  0.0000  0.5000 [1 per cell]  8 Pd 2.62, 4 Al 2.91
Pd  0.5000  0.5000  0.2718 [2 per cell]  4 Al 2.62, 4 Ti 2.83, 4 Pd 2.91

ΔE_f, eV/atom: -0.72


VASP calculation (PBE) on Ti2AlPd3 after structural relaxation.

Unit cell a=4.5586 b=14.1448 c=2.8657 alpha=90.00 beta=90.00 gamma=90.00
Last column: nearest neighbours and their distance in Å.
Space group Cmmm (No. 65)
Unique sites:
Ti  0.0000  0.1770  0.0000 [4 per cell]  8 Pd 2.72-2.89, 2 Ti 2.87
Al  0.0000  0.5000  0.0000 [2 per cell]  8 Pd 2.55-2.69
Pd  0.0000  0.0000  0.5000 [2 per cell]  4 Al 2.69, 2 Pd 2.87, 4 Ti 2.89
Pd  0.0000  0.3509  0.5000 [4 per cell]  2 Al 2.55, 6 Ti 2.72-2.85

ΔE_f, eV/atom: -0.65
Polymorph energy (0 for the lowest one), meV/atom: 5


VASP calculation (PBE) on Ti4AlPd5 after structural relaxation.

Unit cell a=3.3112 b=3.3112 c=14.3427 alpha=90.00 beta=90.00 gamma=90.00
Last column: nearest neighbours and their distance in Å.
Space group P4/mmm (No. 123)
Unique sites:
Ti  0.0000  0.0000  0.0975 [2 per cell]  8 Pd 2.73-2.78, 2 Ti 2.80-2.87
Ti  0.0000  0.0000  0.2974 [2 per cell]  8 Pd 2.71-2.78, 1 Ti 2.87, 1 Al 2.91
Al  0.0000  0.0000  0.5000 [1 per cell]  8 Pd 2.73, 2 Ti 2.91
Pd  0.5000  0.5000  0.0000 [1 per cell]  8 Ti 2.73, 2 Pd 2.90
Pd  0.5000  0.5000  0.2024 [2 per cell]  8 Ti 2.71-2.78, 2 Pd 2.86-2.90
Pd  0.5000  0.5000  0.4017 [2 per cell]  4 Al 2.73, 4 Ti 2.78, 2 Pd 2.82-2.86

ΔE_f, eV/atom: -0.55
Polymorph energy (0 for the lowest one), meV/atom: 0


VASP calculation (PBE) on TiAlPd4 after structural relaxation.

Unit cell a=7.1913 b=4.1679 c=7.2449 alpha=90.00 beta=109.34 gamma=90.00
Last column: nearest neighbours and their distance in Å.
Space group C2/m (No. 12)
Unique sites:
Ti  0.0000  0.0000  0.0000 [2 per cell]  8 Pd 2.57-2.59
Al  0.0000  0.5000  0.5000 [2 per cell]  8 Pd 2.51-2.54
Pd  0.1219  0.5000  0.8670 [4 per cell]  1 Al 2.51, 3 Ti 2.57
Pd  0.1261  0.0000  0.3790 [4 per cell]  3 Al 2.54, 1 Ti 2.59

ΔE_f, eV/atom: -0.48
Polymorph energy (0 for the lowest one), meV/atom: 201


VASP calculation (PBE) on TiAlPd2 after structural relaxation.

Unit cell a=3.9633 b=3.9633 c=17.2150 alpha=90.00 beta=90.00 gamma=90.00
Last column: nearest neighbours and their distance in Å.
Space group I-42d (No. 122)
Unique sites:
Ti  0.0000  0.0000  0.0000 [4 per cell]  4 Pd 2.58, 4 Al 2.80
Al  0.0000  0.0000  0.5000 [4 per cell]  4 Pd 2.56, 4 Ti 2.80
Pd  0.2431  0.2500  0.6250 [8 per cell]  2 Al 2.56, 2 Ti 2.58, 4 Pd 2.76-2.84

ΔE_f, eV/atom: -0.27


VASP calculation (PBE) on TiAl2Pd2 after structural relaxation.

Unit cell a=7.4430 b=7.4430 c=2.8087 alpha=90.00 beta=90.00 gamma=90.00
Last column: nearest neighbours and their distance in Å.
Space group P4/mbm (No. 127)
Unique sites:
Ti  0.0000  0.0000  0.0000 [2 per cell]  2 Ti 2.81, 4 Pd 2.89, 8 Al 3.13
Al  0.1600  0.3400  0.5000 [4 per cell]  6 Pd 2.56-2.63, 2 Al 2.81
Pd  0.1372  0.6372  0.0000 [4 per cell]  6 Al 2.56-2.63, 2 Pd 2.81

ΔE_f, eV/atom: -0.65


VASP calculation (PBE) on Ti4AlPd7 after structural relaxation.

Unit cell a=10.4668 b=4.6938 c=9.2768 alpha=90.00 beta=118.24 gamma=90.00
Last column: nearest neighbours and their distance in Å.
Space group C2/m (No. 12)
Unique sites:
Ti  0.0859  0.0000  0.2749 [4 per cell]  8 Pd 2.54-2.76
Ti  0.2490  0.5000  0.1660 [4 per cell]  5 Pd 2.52-2.78
Al  0.0000  0.5000  0.5000 [2 per cell]  2 Pd 2.35
Pd  0.0000  0.0000  0.5000 [2 per cell]  2 Al 2.35
Pd  0.0705  0.5000  0.8298 [4 per cell]  4 Pd 2.69-2.89, 5 Ti 2.76-3.00, 1 Al 2.79
Pd  0.1380  0.0000  0.0344 [4 per cell]  5 Ti 2.54-2.71, 2 Pd 2.65-2.69
Pd  0.2092  0.5000  0.4137 [4 per cell]  4 Ti 2.52-2.69, 1 Al 2.66, 4 Pd 2.72-2.76

ΔE_f, eV/atom: -0.40


Number 1: M_tot 0.00 μB per formula unit. Number 2: M_tot 0.70 μB per formula unit. Number 3: M_tot 0.43 μB per formula unit. Number 4: M_tot 0.00 μB per formula unit. Number 5: M_tot 0.00 μB per formula unit. Number 6: M_tot 0.00 μB per formula unit. Number 7: M_tot 0.00 μB per formula unit. Number 8: M_tot 0.00 μB per formula unit.